Entry 1:
# CaZrFe | Alexandria | PBE-GGA | optimized geometry
data_CaZrFe
_chemical_formula_sum 'Ca1 Zr1 Fe1'
_cell_length_a 3.4588
_cell_length_b 3.4588
_cell_length_c 6.7833
_cell_angle_alpha 90.00
_cell_angle_beta 90.00
_cell_angle_gamma 120.00
_space_group_name_H-M_alt 'P 1'
_space_group_IT_number 1
_space_group_name_Hall 'P 1'
loop_
_atom_site_label
_atom_site_fract_x
_atom_site_fract_y
_atom_site_fract_z
_atom_site_occupancy
Ca1 0.0000 0.0000 0.0000 1
Zr1 0.6667 0.3333 0.5348 1
Fe1 0.3333 0.6667 0.3122 1
# - SG = P3m1 (156)
# - raw total energy (eV for the cell shown) = -17.820

***

Entry 2:
# CeGdCdPt | Alexandria | PBE-GGA | optimized geometry
data_CeGdCdPt
_chemical_formula_sum 'Ce1 Gd1 Cd1 Pt1'
_cell_length_a 5.1826
_cell_length_b 5.1826
_cell_length_c 5.1826
_cell_angle_alpha 60.00
_cell_angle_beta 60.00
_cell_angle_gamma 60.00
_space_group_name_H-M_alt 'P 1'
_space_group_IT_number 1
_space_group_name_Hall 'P 1'
loop_
_atom_site_label
_atom_site_fract_x
_atom_site_fract_y
_atom_site_fract_z
_atom_site_occupancy
Ce1 0.0000 0.0000 0.0000 1
Gd1 0.5000 0.5000 0.5000 1
Cd1 0.2500 0.2500 0.2500 1
Pt1 0.7500 0.7500 0.7500 1
# - SG = F-43m (216)
# - raw total energy (eV for the cell shown) = -29.297

***

Energy relative to the elements in meV per atom, matching the order above: 398 -581